(1)
Material: NaBi2AsPb
Method: DFT, PBE
State: relaxed

For the energy, the calculation gives -2.89 eV per atom.

The structure in POSCAR format:
```
NaBi2AsPb
1.0
6.008 0.000 0.000
0.000 6.008 0.000
0.000 0.000 5.532
Na Bi As Pb
1 2 1 1
Direct
0.000 0.000 0.000 Na
0.000 0.500 0.500 Bi
0.500 0.000 0.500 Bi
0.500 0.500 0.000 As
0.500 0.500 0.500 Pb
```

=====

(2)
Material: Na3BiAs2Pd9
Method: DFT, PBE
State: relaxed

For the energy, the calculation gives -4.42 eV per atom.

The structure in POSCAR format:
```
Na3BiAs2Pd9
1.0
6.572 0.000 0.000
-3.286 5.691 0.000
0.000 0.000 9.040
Na Bi As Pd
3 1 2 9
Direct
0.000 0.000 0.000 Na
0.333 0.667 0.713 Na
0.667 0.333 0.287 Na
0.000 0.000 0.500 Bi
0.333 0.667 0.171 As
0.667 0.333 0.829 As
0.000 0.500 0.000 Pd
0.140 0.280 0.259 Pd
0.140 0.860 0.259 Pd
0.280 0.140 0.741 Pd
0.500 0.000 0.000 Pd
0.500 0.500 0.000 Pd
0.720 0.860 0.259 Pd
0.860 0.140 0.741 Pd
0.860 0.720 0.741 Pd
```

=====

(3)
Material: Na2BiAs2Pd5
Method: DFT, PBE
State: relaxed

For the energy, the calculation gives -4.54 eV per atom.

The structure in POSCAR format:
```
Na2BiAs2Pd5
1.0
10.413 0.000 0.000
0.000 10.413 0.000
0.000 0.000 3.554
Na Bi As Pd
4 2 4 10
Direct
0.174 0.326 0.000 Na
0.326 0.826 0.000 Na
0.674 0.174 0.000 Na
0.826 0.674 0.000 Na
0.000 0.000 0.000 Bi
0.500 0.500 0.000 Bi
0.125 0.625 0.000 As
0.375 0.125 0.000 As
0.625 0.875 0.000 As
0.875 0.375 0.000 As
0.000 0.500 0.500 Pd
0.065 0.785 0.500 Pd
0.215 0.065 0.500 Pd
0.285 0.565 0.500 Pd
0.435 0.285 0.500 Pd
0.500 0.000 0.500 Pd
0.565 0.715 0.500 Pd
0.715 0.435 0.500 Pd
0.785 0.935 0.500 Pd
0.935 0.215 0.500 Pd
```

=====

(4)
Material: Na2BiAs3Pd4
Method: DFT, PBE
State: relaxed

For the energy, the calculation gives -4.48 eV per atom.

The structure in POSCAR format:
```
Na2BiAs3Pd4
1.0
4.492 0.000 0.000
0.000 4.492 0.000
0.000 0.000 10.390
Na Bi As Pd
2 1 3 4
Direct
0.000 0.500 0.235 Na
0.500 0.000 0.765 Na
0.000 0.000 0.500 Bi
0.000 0.500 0.886 As
0.500 0.000 0.114 As
0.500 0.500 0.500 As
0.000 0.000 0.000 Pd
0.000 0.500 0.652 Pd
0.500 0.000 0.348 Pd
0.500 0.500 0.000 Pd
```

=====

(5)
Material: NaBiAs2Rh
Method: DFT, PBE
State: relaxed

For the energy, the calculation gives -4.26 eV per atom.

The structure in POSCAR format:
```
NaBiAs2Rh
1.0
4.792 0.000 0.000
0.000 4.792 0.000
0.000 0.000 5.162
Na Bi As Rh
1 1 2 1
Direct
0.000 0.000 0.000 Na
0.500 0.500 0.000 Bi
0.000 0.500 0.500 As
0.500 0.000 0.500 As
0.000 0.000 0.500 Rh
```

=====

(6)
Material: NaBiAsRu2
Method: DFT, PBE
State: relaxed

For the energy, the calculation gives -4.18 eV per atom.

The structure in POSCAR format:
```
NaBiAsRu2
1.0
5.021 0.000 0.000
0.000 5.021 0.000
0.000 0.000 5.324
Na Bi As Ru
1 1 1 2
Direct
0.000 0.000 0.000 Na
0.000 0.000 0.500 Bi
0.500 0.500 0.000 As
0.000 0.500 0.500 Ru
0.500 0.000 0.500 Ru
```

=====

(7)
Material: NaBiAsS2
Method: DFT, PBE
State: relaxed

The uncorrected formation energy is 0.652 eV per atom.

The structure in POSCAR format:
```
NaBiAsS2
1.0
5.296 0.000 0.000
0.000 5.296 0.000
0.000 0.000 6.284
Na Bi As S
1 1 1 2
Direct
0.000 0.000 0.000 Na
0.000 0.000 0.500 Bi
0.500 0.500 0.000 As
0.000 0.500 0.500 S
0.500 0.000 0.500 S
```

=====

(8)
Material: Na2BiAsS4
Method: DFT, PBE
State: relaxed

The uncorrected formation energy is -0.477 eV per atom.

The structure in POSCAR format:
```
Na2BiAsS4
1.0
6.294 0.000 0.000
0.000 6.294 0.000
0.000 0.000 12.167
Na Bi As S
4 2 2 8
Direct
0.000 0.000 0.000 Na
0.000 0.500 0.250 Na
0.500 0.000 0.750 Na
0.500 0.500 0.500 Na
0.000 0.000 0.500 Bi
0.500 0.500 0.000 Bi
0.000 0.500 0.750 As
0.500 0.000 0.250 As
0.220 0.268 0.633 S
0.232 0.720 0.867 S
0.268 0.780 0.367 S
0.280 0.232 0.133 S
0.720 0.768 0.133 S
0.732 0.220 0.367 S
0.768 0.280 0.867 S
0.780 0.732 0.633 S
```

=====

(9)
Material: NaBiAs2Se
Method: DFT, PBE
State: relaxed

The uncorrected formation energy is 0.459 eV per atom. The relative energy among the computed polymorphs is 0 meV per atom.

The structure in POSCAR format:
```
NaBiAs2Se
1.0
5.530 0.000 0.000
0.000 5.530 0.000
0.000 0.000 5.719
Na Bi As Se
1 1 2 1
Direct
0.000 0.000 0.000 Na
0.500 0.500 0.500 Bi
0.000 0.500 0.500 As
0.500 0.000 0.500 As
0.500 0.500 0.000 Se
```

=====

(10)
Material: NaBiAs2Se
Method: DFT, PBE
State: relaxed

The uncorrected formation energy is 0.781 eV per atom. The relative energy among the computed polymorphs is 322 meV per atom.

The structure in POSCAR format:
```
NaBiAs2Se
1.0
5.028 0.000 0.000
0.000 5.028 0.000
0.000 0.000 5.183
Na Bi As Se
1 1 2 1
Direct
0.000 0.000 0.000 Na
0.500 0.500 0.500 Bi
0.000 0.500 0.000 As
0.500 0.000 0.000 As
0.000 0.000 0.500 Se
```

=====

(11)
Material: Nb2BiAs
Method: DFT, PBE
State: relaxed

For the energy, the calculation gives -6.77 eV per atom.

The structure in POSCAR format:
```
Nb2BiAs
1.0
4.202 0.000 0.000
0.000 4.202 0.000
0.000 0.000 19.582
Nb Bi As
8 4 4
Direct
0.221 0.250 0.125 Nb
0.250 0.721 0.375 Nb
0.250 0.779 0.875 Nb
0.279 0.250 0.625 Nb
0.721 0.750 0.625 Nb
0.750 0.221 0.875 Nb
0.750 0.279 0.375 Nb
0.779 0.750 0.125 Nb
0.000 0.000 0.500 Bi
0.000 0.500 0.750 Bi
0.500 0.000 0.250 Bi
0.500 0.500 0.000 Bi
0.000 0.000 0.000 As
0.000 0.500 0.250 As
0.500 0.000 0.750 As
0.500 0.500 0.500 As
```

=====

(12)
Material: NbBiAs2
Method: DFT, PBE
State: relaxed

For the energy, the calculation gives -5.58 eV per atom.

The structure in POSCAR format:
```
NbBiAs2
1.0
6.308 0.000 0.000
0.000 6.308 0.000
0.000 0.000 12.227
Nb Bi As
4 4 8
Direct
0.000 0.000 0.000 Nb
0.000 0.500 0.250 Nb
0.500 0.000 0.750 Nb
0.500 0.500 0.500 Nb
0.000 0.000 0.500 Bi
0.000 0.500 0.750 Bi
0.500 0.000 0.250 Bi
0.500 0.500 0.000 Bi
0.201 0.250 0.125 As
0.250 0.701 0.375 As
0.250 0.799 0.875 As
0.299 0.250 0.625 As
0.701 0.750 0.625 As
0.750 0.201 0.875 As
0.750 0.299 0.375 As
0.799 0.750 0.125 As
```